Entry 1:
Cs3ThBr8: optimized geometry, PBE.

Results
total magnetization: 1.1 μB/f.u.
ΔE_f (raw): -1.5886 eV/atom

a = 9.1334 Å, b = 9.1334 Å, c = 12.9159 Å
α = 90.00°, β = 90.00°, γ = 90.00°
Space group I-42m (No. 121)
One atom of each set of equivalent atoms:
1 Cs 0.0000 0.0000 0.0000
2 Cs 0.0000 0.5000 0.2500
3 Th 0.0000 0.0000 0.5000
4 Br 0.1264 0.1264 0.6978
5 Br 0.2210 0.2210 0.4467



Entry 2:
CsThBr5: optimized geometry, PBE.

Results
total magnetization: 0.0 μB/f.u.
ΔE_f (raw): -1.7625 eV/atom

a = 13.6423 Å, b = 9.5356 Å, c = 11.6620 Å
α = 90.00°, β = 113.68°, γ = 90.00°
Space group C2/c (No. 15)
One atom of each set of equivalent atoms:
1 Cs 0.0000 0.0336 0.2500
2 Th 0.0000 0.5000 0.0000
3 Br 0.0000 0.4434 0.2500
4 Br 0.0797 0.2247 0.0087
5 Br 0.2073 0.3939 0.6134



Entry 3:
CsThTlBr6: optimized geometry, PBE.

Results
total magnetization: 0.0 μB/f.u.
ΔE_f (raw): -1.5870 eV/atom

a = 8.6287 Å, b = 8.6287 Å, c = 12.6288 Å
α = 90.00°, β = 90.00°, γ = 120.00°
Space group P-31c (No. 163)
One atom of each set of equivalent atoms:
1 Cs 0.3333 0.6667 0.2500
2 Th 0.3333 0.6667 0.7500
3 Tl 0.0000 0.0000 0.0000
4 Br 0.0705 0.3878 0.6201



Entry 4:
CsThTl2Br8: optimized geometry, PBE.

Results
total magnetization: 0.0 μB/f.u.
ΔE_f (raw): -1.2957 eV/atom

a = 6.2552 Å, b = 8.0302 Å, c = 10.6471 Å
α = 90.07°, β = 90.29°, γ = 90.33°
Space group P-1 (No. 2)
One atom of each set of equivalent atoms:
1 Cs 0.0000 0.0000 0.0000
2 Th 0.0000 0.0000 0.5000
3 Tl 0.4974 0.5002 0.7245
4 Br 0.2273 0.6932 0.4981
5 Br 0.2430 0.5055 0.0001
6 Br 0.2492 0.1367 0.3009
7 Br 0.2526 0.1335 0.7005



Entry 5:
Cs2Ti2Br5: optimized geometry, PBE.

Results
total magnetization: 4.0 μB/f.u.
ΔE_f (raw): -1.0553 eV/atom

a = 14.4467 Å, b = 5.3003 Å, c = 8.8199 Å
α = 90.00°, β = 103.63°, γ = 90.00°
Space group C2/m (No. 12)
One atom of each set of equivalent atoms:
1 Cs 0.0972 0.0000 0.3199
2 Ti 0.1798 0.5000 0.9244
3 Br 0.0000 0.5000 0.0000
4 Br 0.1430 0.5000 0.6167
5 Br 0.1476 0.0000 0.9170



Entry 6:
Cs3TiBr6: optimized geometry, PBE.

Results
total magnetization: 1.0 μB/f.u.
energy relative to the lowest polymorph listed for this composition: 76.9 meV per atom
ΔE_f (raw): -1.5005 eV/atom

a = 8.5590 Å, b = 8.5590 Å, c = 12.5580 Å
α = 90.00°, β = 90.00°, γ = 90.00°
Space group I4/mmm (No. 139)
One atom of each set of equivalent atoms:
1 Cs 0.0000 0.0000 0.0000
2 Cs 0.0000 0.5000 0.2500
3 Ti 0.0000 0.0000 0.5000
4 Br 0.0000 0.0000 0.2828
5 Br 0.0000 0.2989 0.5000



Entry 7:
CsTi4Br7: optimized geometry, PBE.

Results
total magnetization: 2.0 μB/f.u.
ΔE_f (raw): -0.9337 eV/atom

a = 4.8877 Å, b = 20.3671 Å, c = 7.0756 Å
α = 90.00°, β = 90.00°, γ = 90.00°
Space group Pmmn (No. 59, origin choice 2)
One atom of each set of equivalent atoms:
1 Cs 0.2500 0.2500 0.2048
2 Ti 0.2500 0.0017 0.6057
3 Ti 0.2500 0.6121 0.4037
4 Br 0.2500 0.9997 0.2265
5 Br 0.2500 0.1256 0.7360
6 Br 0.2500 0.6182 0.7658
7 Br 0.2500 0.7500 0.3950



Entry 8:
CsTiBr6: optimized geometry, PBE.

Results
total magnetization: 1.2 μB/f.u.
ΔE_f (raw): -1.0562 eV/atom

a = 12.3555 Å, b = 12.3555 Å, c = 12.3555 Å
α = 90.00°, β = 90.00°, γ = 90.00°
Space group Fm-3m (No. 225)
One atom of each set of equivalent atoms:
1 Cs 0.0000 0.0000 0.0000
2 Ti 0.0000 0.0000 0.5000
3 Br 0.0000 0.0000 0.2974



Entry 9:
Cs3TiBr6: optimized geometry, PBE.

Results
total magnetization: 1.0 μB/f.u.
energy relative to the lowest polymorph listed for this composition: 0.0 meV per atom
ΔE_f (raw): -1.5775 eV/atom

a = 13.3863 Å, b = 13.3863 Å, c = 17.0198 Å
α = 90.00°, β = 90.00°, γ = 120.00°
Space group R-3c (No. 167, hexagonal axes)
One atom of each set of equivalent atoms:
1 Cs 0.0000 0.3541 0.2500
2 Ti 0.0000 0.0000 0.0000
3 Br 0.0144 0.1662 0.4104



Entry 10:
Cs2Ti3Br8: optimized geometry, PBE.

Results
total magnetization: 6.0 μB/f.u.
ΔE_f (raw): -1.2287 eV/atom

a = 17.0438 Å, b = 7.6343 Å, c = 7.3517 Å
α = 90.00°, β = 106.39°, γ = 90.00°
Space group C2/m (No. 12)
One atom of each set of equivalent atoms:
1 Cs 0.2379 0.0000 0.1919
2 Ti 0.0000 0.2730 0.5000
3 Ti 0.0000 0.5000 0.0000
4 Br 0.0844 0.2620 0.8715
5 Br 0.0961 0.0000 0.4552
6 Br 0.0963 0.5000 0.3766



Entry 11:
CsTi2Br8: optimized geometry, PBE.

Results
total magnetization: 1.0 μB/f.u.
ΔE_f (raw): -1.2924 eV/atom

a = 7.8289 Å, b = 8.7540 Å, c = 8.7589 Å
α = 60.09°, β = 89.96°, γ = 89.97°
Space group P-1 (No. 2)
One atom of each set of equivalent atoms:
1 Cs 0.0000 0.0000 0.0000
2 Ti 0.2042 0.3333 0.3333
3 Br 0.0983 0.6667 0.6670
4 Br 0.3093 0.1875 0.6281
5 Br 0.3100 0.1842 0.1873
6 Br 0.3096 0.6283 0.1846



Entry 12:
Cs2Ti3Br10: optimized geometry, PBE.

Results
total magnetization: 4.0 μB/f.u.
ΔE_f (raw): -1.3170 eV/atom

a = 25.2769 Å, b = 7.7012 Å, c = 10.6026 Å
α = 90.00°, β = 111.84°, γ = 90.00°
Space group C2/m (No. 12)
One atom of each set of equivalent atoms:
1 Cs 0.1217 0.0000 0.2429
2 Cs 0.2288 0.0000 0.8095
3 Ti 0.0000 0.2629 0.5000
4 Ti 0.0776 0.5000 0.9832
5 Ti 0.1773 0.5000 0.5224
6 Br 0.0000 0.2763 0.0000
7 Br 0.0184 0.0000 0.6729
8 Br 0.0195 0.5000 0.6941
9 Br 0.1091 0.2547 0.5349
10 Br 0.1291 0.5000 0.2518
11 Br 0.1377 0.2561 0.9613
12 Br 0.2302 0.5000 0.7743
13 Br 0.2500 0.2500 0.5000



Entry 13:
Cs3Ti2Br7: optimized geometry, PBE.

Results
total magnetization: 4.0 μB/f.u.
ΔE_f (raw): -1.3753 eV/atom

a = 5.4509 Å, b = 28.6132 Å, c = 5.3299 Å
α = 90.00°, β = 90.00°, γ = 90.00°
Space group Cmmm (No. 65)
One atom of each set of equivalent atoms:
1 Cs 0.0000 0.0000 0.0000
2 Cs 0.0000 0.1838 0.0000
3 Ti 0.0000 0.4030 0.5000
4 Br 0.0000 0.0946 0.5000
5 Br 0.0000 0.3088 0.5000
6 Br 0.0000 0.4048 0.0000
7 Br 0.0000 0.5000 0.5000



Entry 14:
Cs2TiBr7: optimized geometry, PBE.

Results
total magnetization: 0.0 μB/f.u.
ΔE_f (raw): -1.2309 eV/atom

a = 8.6002 Å, b = 8.6002 Å, c = 10.8558 Å
α = 90.00°, β = 90.00°, γ = 90.00°
Space group I4/mmm (No. 139)
One atom of each set of equivalent atoms:
1 Cs 0.0000 0.5000 0.2500
2 Ti 0.0000 0.0000 0.0000
3 Br 0.0000 0.0000 0.2376
4 Br 0.0000 0.0000 0.5000
5 Br 0.2069 0.2069 0.0000



Entry 15:
CsTiBr5: optimized geometry, PBE.

Results
total magnetization: 0.0 μB/f.u.
ΔE_f (raw): -1.3480 eV/atom

a = 8.6659 Å, b = 11.3181 Å, c = 6.8020 Å
α = 90.00°, β = 90.00°, γ = 90.00°
Space group Imm2 (No. 44)
One atom of each set of equivalent atoms:
1 Cs 0.0000 0.0000 0.0000
2 Ti 0.0000 0.5000 0.9996
3 Br 0.0000 0.3127 0.1725
4 Br 0.0000 0.5000 0.6486
5 Br 0.2107 0.0000 0.5060



Entry 16:
CsTi2Br6: optimized geometry, PBE.

Results
total magnetization: 3.0 μB/f.u.
ΔE_f (raw): -1.2991 eV/atom

a = 6.6931 Å, b = 6.6931 Å, c = 8.5386 Å
α = 90.00°, β = 90.00°, γ = 120.00°
Space group P-31m (No. 162)
One atom of each set of equivalent atoms:
1 Cs 0.0000 0.0000 0.0000
2 Ti 0.3333 0.6667 0.5000
3 Br 0.0000 0.3559 0.6778



Entry 17:
CsTiTl2Br6: optimized geometry, PBE.

Results
total magnetization: 1.0 μB/f.u.
ΔE_f (raw): -1.1611 eV/atom

a = 8.1230 Å, b = 8.1294 Å, c = 8.4513 Å
α = 61.26°, β = 61.29°, γ = 60.03°
Space group P1 (No. 1)
One atom of each set of equivalent atoms:
1 Cs 0.0000 0.0000 0.0000
2 Ti 0.4877 0.4882 0.5363
3 Tl 0.2863 0.2876 0.1396
4 Tl 0.8021 0.8027 0.5934
5 Br 0.1514 0.4188 0.7643
6 Br 0.2822 0.8149 0.3317
7 Br 0.4184 0.6652 0.7648
8 Br 0.5719 0.2831 0.3311
9 Br 0.6644 0.1520 0.7649
10 Br 0.8145 0.5719 0.3322



Entry 18:
CsTiTl2Br8: optimized geometry, PBE.

Results
total magnetization: 0.0 μB/f.u.
ΔE_f (raw): -1.0725 eV/atom

a = 6.0305 Å, b = 7.4132 Å, c = 9.8385 Å
α = 89.78°, β = 72.69°, γ = 89.64°
Space group P-1 (No. 2)
One atom of each set of equivalent atoms:
1 Cs 0.0000 0.0000 0.0000
2 Ti 0.0000 0.0000 0.5000
3 Tl 0.3150 0.4943 0.3186
4 Br 0.1742 0.2400 0.6188
5 Br 0.1806 0.7558 0.6143
6 Br 0.2469 0.4998 0.9973
7 Br 0.3481 0.0045 0.2790



Entry 19:
Cs2YTiBr6: optimized geometry, PBE.

Results
total magnetization: 3.0 μB/f.u.
ΔE_f (raw): -1.5080 eV/atom

a = 11.1438 Å, b = 11.1438 Å, c = 11.1438 Å
α = 90.00°, β = 90.00°, γ = 90.00°
Space group Fm-3m (No. 225)
One atom of each set of equivalent atoms:
1 Cs 0.2500 0.2500 0.2500
2 Y 0.0000 0.0000 0.0000
3 Ti 0.0000 0.0000 0.5000
4 Br 0.0000 0.0000 0.2533



Number 1: E_tot -84.85 eV/cell. Number 2: E_tot -115.90 eV/cell. Number 3: E_tot -69.92 eV/cell. Number 4: E_tot -41.94 eV/cell. Number 5: E_tot -70.72 eV/cell. Number 6: E_tot -71.00 eV/cell. Number 7: E_tot -110.70 eV/cell. Number 8: E_tot -108.94 eV/cell. Number 9: E_tot -217.61 eV/cell. Number 10: E_tot -109.50 eV/cell. Number 11: E_tot -44.24 eV/cell. Number 12: E_tot -247.50 eV/cell. Number 13: E_tot -93.13 eV/cell. Number 14: E_tot -67.24 eV/cell. Number 15: E_tot -53.10 eV/cell. Number 16: E_tot -38.37 eV/cell. Number 17: E_tot -35.13 eV/cell. Number 18: E_tot -39.73 eV/cell. Number 19: E_tot -164.73 eV/cell.